{"formula": "MnCu2F", "functional": "GGA+U", "state": "optimized geometry", "de_polymorph_ev_per_fu": 1.35, "dft_energy_ev_per_atom": -4.3433, "lattice_angstrom": [[0.000, 3.018, 3.018], [3.018, 0.000, 3.018], [3.018, 3.018, 0.000]], "species": ["Mn", "Cu", "Cu", "F"], "frac_coords": [[0.500, 0.500, 0.500], [0.750, 0.750, 0.750], [0.250, 0.250, 0.250], [0.000, 0.000, 0.000]]}